Record 1
Material: Na2MgTi2O6
Method: DFT, GGA-PBE
State: relaxed

## Properties
The final energy is -7.175 eV/atom. Its uncorrected formation energy is -29.15 eV per formula unit.

a b c (Å): 5.2260 5.2260 5.7827
angles (deg): 98.13 98.13 120.61
With the nearest neighbours (Å) after each atom.
Fractional positions:
Na 0.8365 0.1635 0.0000  6 O 2.40-2.47
Na 0.1635 0.8365 0.0000  6 O 2.40-2.47
Mg 0.0000 0.0000 0.5000  6 O 2.05-2.14
Ti 0.3347 0.6653 0.5000  6 O 1.98-2.00
Ti 0.6653 0.3347 0.5000  6 O 1.98-2.00
O 0.7169 0.7169 0.6869  2 Ti 2.00, 1 Mg 2.05
O 0.0547 0.4128 0.6908  2 Ti 1.98-2.00, 1 Mg 2.14
O 0.2831 0.2831 0.3131  2 Ti 2.00, 1 Mg 2.05
O 0.4128 0.0547 0.6908  2 Ti 1.98-2.00, 1 Mg 2.14
O 0.9453 0.5873 0.3092  2 Ti 1.98-2.00, 1 Mg 2.14
O 0.5873 0.9453 0.3092  2 Ti 1.98-2.00, 1 Mg 2.14

---

Record 2
Material: LaAl3Ag
Method: DFT, GGA-PBE
State: relaxed

## Properties
The final energy is -2.478 eV/atom. The formation energy comes out at 6.61 eV/f.u. The calculation puts the energy above the most stable polymorph in this dataset at 1759 meV/atom.

a b c (Å): 5.6904 5.6904 5.6904
angles (deg): 90.00 90.00 90.00
With the nearest neighbours (Å) after each atom.
Fractional positions:
Al 0.0000 0.5000 0.0000  2 La 2.85
Al 0.0000 0.0000 0.5000  2 La 2.85
Al 0.5000 0.0000 0.0000  2 La 2.85
Ag 0.5000 0.5000 0.5000  12 Al 4.02
La 0.0000 0.0000 0.0000  6 Al 2.85

---

Record 3
Material: CuW2Au
Method: DFT, GGA-PBE
State: relaxed

## Properties
The final energy is -8.094 eV/atom. The formation energy comes out at 0.90 eV/f.u. The calculation puts the energy above the most stable polymorph in this dataset at 0 meV/atom.

a b c (Å): 2.7297 2.7297 8.8390
angles (deg): 90.00 90.00 106.99
With the nearest neighbours (Å) after each atom.
Fractional positions:
Au 0.0000 0.0000 0.5112  2 Cu 2.71, 4 Au 2.73, 2 W 2.88
Cu 0.5000 0.5000 0.7560  2 W 2.63, 2 Au 2.71, 4 Cu 2.73
W 0.0000 0.0000 0.9906  2 Cu 2.63, 6 W 2.73-2.75
W 0.5000 0.5000 0.2422  6 W 2.73-2.75, 2 Au 2.88

---

In the order shown, the computed Fermi-level density of states values come out to 0.0; 5.7; 2.4 states/eV per cell.